1.
Here is a relaxed structure of CdPt2Au from the Alexandria database. Energies are from PBE.

Summary:
The calculation puts the total magnetization at 0.0000 μB per atom. The formation enthalpy at 0 K is -0.128 eV per atom.

abc: 2.9265 2.9266 8.0126
angles: 90.00 90.00 90.02
Element x y z (fractional)
Au 0.5000 0.5000 0.2500
Pt 0.0000 0.0000 0.0002
Pt 0.0000 0.0000 0.4998
Cd 0.5000 0.5000 0.7500

***

2.
Here is a relaxed structure of Cd4PtAu from the Alexandria database. Energies are from PBE.

Summary:
The calculation puts the total magnetization at 0.0000 μB per atom. The formation enthalpy at 0 K is -0.201 eV per atom. The energy above the most stable polymorph in this dataset comes out at 0.0116 eV per atom.

abc: 4.5826 4.5837 6.6348
angles: 89.97 89.98 90.00
Element x y z (fractional)
Cd 0.5014 0.9969 0.2578
Cd 0.5012 0.9975 0.7384
Cd 0.0015 0.4971 0.7383
Cd 0.0012 0.4973 0.2579
Pt 0.0013 0.9974 0.4982
Au 0.5012 0.4974 0.9982

***

3.
Here is a relaxed structure of Cd3Pt2Au2 from the Alexandria database. Energies are from PBE.

Summary:
The calculation puts the total magnetization at 0.0000 μB per atom. The formation enthalpy at 0 K is -0.188 eV per atom.

abc: 4.1012 5.0885 7.5500
angles: 73.68 105.76 113.76
Element x y z (fractional)
Cd 0.0000 0.0000 0.0000
Cd 0.5077 0.3152 0.7001
Cd 0.4923 0.6848 0.2999
Pt 0.2243 0.0738 0.3748
Pt 0.7757 0.9262 0.6252
Au 0.7450 0.3562 0.1339
Au 0.2550 0.6438 0.8661

***

4.
Here is a relaxed structure of CdPt2Au from the Alexandria database. Energies are from PBE.

Summary:
The calculation puts the total magnetization at 0.0000 μB per atom. The formation enthalpy at 0 K is -0.148 eV per atom.

abc: 4.8716 4.8716 2.9939
angles: 90.00 90.00 105.50
Element x y z (fractional)
Au 0.5000 0.0000 0.5000
Pt 0.0000 0.0000 0.0000
Pt 0.5000 0.5000 0.0000
Cd 0.0000 0.5000 0.5000

***

5.
Here is a relaxed structure of Cd2PtAu3 from the Alexandria database. Energies are from PBE.

Summary:
The calculation puts the total magnetization at 0.0000 μB per atom. The formation enthalpy at 0 K is -0.147 eV per atom. The energy above the most stable polymorph in this dataset comes out at 0.0000 eV per atom.

abc: 4.2122 9.3709 6.5962
angles: 115.50 108.62 90.00
Element x y z (fractional)
Cd 0.5319 0.8709 0.0637
Cd 0.4681 0.1291 0.9363
Cd 0.2096 0.8695 0.4192
Cd 0.7904 0.1305 0.5808
Pt 0.1271 0.1162 0.2541
Pt 0.8729 0.8838 0.7459
Au 0.0434 0.3737 0.0868
Au 0.9566 0.6263 0.9132
Au 0.7096 0.3760 0.4191
Au 0.2904 0.6240 0.5809
Au 0.6252 0.6266 0.2505
Au 0.3748 0.3734 0.7495

***

6.
Here is a relaxed structure of Cd2Pt2Au from the Alexandria database. Energies are from PBE.

Summary:
The calculation puts the total magnetization at 0.0000 μB per atom. The formation enthalpy at 0 K is 0.151 eV per atom. The energy above the most stable polymorph in this dataset comes out at 0.3630 eV per atom.

abc: 4.0387 4.0387 6.8664
angles: 72.90 72.90 90.00
Element x y z (fractional)
Au 0.0000 0.0000 0.0000
Pt 0.3978 0.3978 0.2045
Pt 0.6022 0.6022 0.7955
Cd 0.7500 0.2500 0.5000
Cd 0.2500 0.7500 0.5000

***

7.
Here is a relaxed structure of CdPt2Au from the Alexandria database. Energies are from PBE.

Summary:
The calculation puts the total magnetization at 0.0000 μB per atom. The formation enthalpy at 0 K is -0.109 eV per atom.

abc: 2.8881 2.8881 8.2289
angles: 90.00 90.00 90.00
Element x y z (fractional)
Au 0.0000 0.0000 0.4921
Pt 0.0000 0.0000 0.0054
Pt 0.5000 0.5000 0.2424
Cd 0.5000 0.5000 0.7601

***

8.
Here is a relaxed structure of CdPtAu from the Alexandria database. Energies are from PBE.

Summary:
The calculation puts the total magnetization at 0.0000 μB per atom. The formation enthalpy at 0 K is -0.121 eV per atom. The energy above the most stable polymorph in this dataset comes out at 0.0637 eV per atom.

abc: 4.6107 4.6107 2.9202
angles: 90.00 90.00 120.00
Element x y z (fractional)
Au 0.0000 0.0000 0.9901
Pt 0.3333 0.6667 0.6759
Cd 0.6667 0.3333 0.3339

***

9.
Here is a relaxed structure of Cd8Pt2Au from the Alexandria database. Energies are from PBE.

Summary:
The calculation puts the total magnetization at 0.0000 μB per atom. The formation enthalpy at 0 K is -0.209 eV per atom.

abc: 4.4353 7.8583 7.8174
angles: 120.17 106.48 90.00
Element x y z (fractional)
Cd 0.3431 0.5610 0.6861
Cd 0.6570 0.8750 0.3139
Cd 0.8509 0.8509 0.7019
Cd 0.0000 0.3139 0.0000
Cd 0.1491 0.1491 0.2981
Cd 0.3430 0.1250 0.6861
Cd 0.6569 0.4390 0.3139
Cd 0.0000 0.6861 0.0000
Pt 0.8033 0.3034 0.6067
Pt 0.1967 0.6966 0.3933
Au 0.5000 0.0000 0.0000

***

10.
Here is a relaxed structure of Cd3Pt2Au from the Alexandria database. Energies are from PBE.

Summary:
The calculation puts the total magnetization at 0.0000 μB per atom. The formation enthalpy at 0 K is -0.270 eV per atom.

abc: 3.0375 3.0375 11.8119
angles: 90.00 90.00 90.00
Element x y z (fractional)
Cd 0.0000 0.0000 0.0000
Cd 0.0000 0.0000 0.6770
Cd 0.0000 0.0000 0.3230
Pt 0.5000 0.5000 0.8372
Pt 0.5000 0.5000 0.1628
Au 0.5000 0.5000 0.5000

***

11.
Here is a relaxed structure of Cd4Pt5Au from the Alexandria database. Energies are from PBE.

Summary:
The calculation puts the total magnetization at 0.0000 μB per atom. The formation enthalpy at 0 K is -0.238 eV per atom.

abc: 2.9974 2.9974 19.3705
angles: 90.00 90.00 90.00
Element x y z (fractional)
Cd 0.0000 0.0000 0.1981
Cd 0.0000 0.0000 0.3995
Cd 0.0000 0.0000 0.6005
Cd 0.0000 0.0000 0.8019
Pt 0.5000 0.5000 0.0992
Pt 0.5000 0.5000 0.2994
Pt 0.5000 0.5000 0.5000
Pt 0.5000 0.5000 0.7006
Pt 0.5000 0.5000 0.9008
Au 0.0000 0.0000 0.0000

***

12.
Here is a relaxed structure of Cd8PtAu2 from the Alexandria database. Energies are from PBE.

Summary:
The calculation puts the total magnetization at 0.0000 μB per atom. The formation enthalpy at 0 K is -0.153 eV per atom. The energy above the most stable polymorph in this dataset comes out at 0.0130 eV per atom.

abc: 4.6688 5.6816 9.5903
angles: 104.83 104.09 90.00
Element x y z (fractional)
Cd 0.4112 0.5246 0.8223
Cd 0.6518 0.0275 0.3035
Cd 0.7699 0.6871 0.5397
Cd 0.9710 0.2251 0.9419
Cd 0.2301 0.3129 0.4603
Cd 0.3482 0.9725 0.6965
Cd 0.5888 0.4754 0.1777
Cd 0.0290 0.7749 0.0581
Pt 0.5000 0.0000 0.0000
Au 0.8185 0.2464 0.6369
Au 0.1815 0.7536 0.3631